*a*
# BaPtI2N | Alexandria via LeMat-Bulk | PBE | relaxed
data_BaPtI2N
_cell_length_a 6.692
_cell_length_b 6.692
_cell_length_c 5.272
_cell_angle_alpha 90.00
_cell_angle_beta 90.00
_cell_angle_gamma 90.00
_space_group_name_H-M_alt 'P 4/m m m'
_space_group_IT_number 123
_space_group_name_Hall '-P 4 2'
loop_
_atom_site_label
_atom_site_type_symbol
_atom_site_fract_x
_atom_site_fract_y
_atom_site_fract_z
Ba1 Ba 0.000 0.000 0.000
Pt1 Pt 0.500 0.500 0.500
I1 I 0.000 0.500 0.000
N1 N 0.000 0.000 0.500
# - volume (A^3/atom) = 47.22
# - DOS(E_F) (states/eV/cell) = 10.7

=====

*b*
# BaPtI2N | Alexandria via LeMat-Bulk | PBE | relaxed
data_BaPtI2N
_cell_length_a 6.161
_cell_length_b 6.161
_cell_length_c 3.819
_cell_angle_alpha 90.00
_cell_angle_beta 90.00
_cell_angle_gamma 90.00
_space_group_name_H-M_alt 'P 4/m m m'
_space_group_IT_number 123
_space_group_name_Hall '-P 4 2'
loop_
_atom_site_label
_atom_site_type_symbol
_atom_site_fract_x
_atom_site_fract_y
_atom_site_fract_z
Ba1 Ba 0.000 0.000 0.000
Pt1 Pt 0.500 0.500 0.500
I1 I 0.000 0.500 0.500
N1 N 0.500 0.500 0.000
# - volume (A^3/atom) = 28.99
# - DOS(E_F) (states/eV/cell) = 1.7

=====

Relative energies, meV per atom: *a* 1304; *b* 0.